*P*
The following is a DFT calculation (PBE) of ZnMoSeBr2 after structural relaxation.

Results
SG	P4/mmm
DOS at the Fermi energy	0.6244	states/eV/atom

```
5
Lattice="-3.076 -3.356 2.061 -2.060 -0.857 -4.472 3.494 -3.750 -0.891" Properties=species:S:1:pos:R:3 pbc="T T T"
Zn 0.000 0.000 0.000
Mo -0.821 -3.982 -1.651
Se 1.747 -1.875 -0.446
Br -1.030 -0.429 -2.236
Br -1.538 -1.678 1.030
```

=====

*Q*
The following is a DFT calculation (PBE) of ZnMoSeBr2 after structural relaxation.

Results
SG	P4/mmm
DOS at the Fermi energy	0.4543	states/eV/atom

```
5
Lattice="-2.414 -3.712 2.934 0.404 -3.444 -4.024 4.323 -1.473 1.694" Properties=species:S:1:pos:R:3 pbc="T T T"
Zn 1.156 -4.314 0.302
Mo 0.000 0.000 0.000
Se 2.162 -0.736 0.847
Br 0.202 -1.722 -2.012
Br -1.207 -1.856 1.467
```

=====

Most stable structure: *Q*

=====

*P*
The following is a DFT calculation (PBE) of ZrMoSe2Br after structural relaxation.

Results
SG	P4/mmm
DOS at the Fermi energy	1.3709	states/eV/atom

```
5
Lattice="4.956 0.000 0.000 0.000 4.956 0.000 0.000 0.000 4.958" Properties=species:S:1:pos:R:3 pbc="T T T"
Mo 0.000 0.000 0.000
Se 0.000 2.478 0.000
Se 2.478 0.000 0.000
Br 0.000 0.000 2.479
Zr 2.478 2.478 2.479
```

=====

*Q*
The following is a DFT calculation (PBE) of ZrMoSe2Br after structural relaxation.

Results
SG	P4/mmm
DOS at the Fermi energy	0.4961	states/eV/atom

```
5
Lattice="-0.342 0.075 -5.226 -4.015 -3.356 0.214 -3.366 4.045 0.279" Properties=species:S:1:pos:R:3 pbc="T T T"
Mo -3.862 0.382 -2.366
Se -2.008 -1.678 0.107
Se -0.171 0.038 -2.613
Br -1.683 2.023 0.139
Zr 0.000 0.000 0.000
```

=====

Most stable structure: *Q*